Record 1
Ca4TlZn: optimized geometry, PBE.

Computed properties:
- relative energy among the computed polymorphs (meV/atom) = 0.0
- ΔH_f (0 K) (eV/atom) = -0.2236
- spin magnetization (μB per atom) = 0.000

The structure in POSCAR format:
```
Ca4TlZn
1.0
4.746 -7.150 0.000
4.746 7.150 0.000
-2.256 0.000 5.721
Ca Tl Zn
8 2 2
direct
0.058 0.706 0.933
0.226 0.373 0.664
0.294 0.942 0.567
0.373 0.226 0.164
0.627 0.774 0.836
0.706 0.058 0.433
0.774 0.627 0.336
0.942 0.294 0.067
0.370 0.630 0.250
0.630 0.370 0.750
0.001 0.999 0.750
0.999 0.001 0.250
```

=====

Record 2
Ca2TlZn3: optimized geometry, PBE.

Computed properties:
- ΔH_f (0 K) (eV/atom) = -0.2786
- spin magnetization (μB per atom) = 0.000

The structure in POSCAR format:
```
Ca2TlZn3
1.0
0.000 4.697 8.140
3.657 0.000 8.140
3.657 4.697 0.000
Ca Tl Zn
4 2 6
direct
0.249 0.751 0.751
0.250 0.250 0.250
0.750 0.750 0.750
0.751 0.249 0.249
0.334 0.334 0.666
0.666 0.666 0.334
0.161 0.161 0.839
0.161 0.679 0.321
0.321 0.839 0.161
0.679 0.161 0.839
0.839 0.321 0.679
0.839 0.839 0.161
```

=====

Record 3
Ca2Tl3Zn: optimized geometry, PBE.

Computed properties:
- ΔH_f (0 K) (eV/atom) = -0.2596
- spin magnetization (μB per atom) = 0.000

The structure in POSCAR format:
```
Ca2Tl3Zn
1.0
3.741 0.000 0.000
0.000 5.014 0.000
0.000 0.000 8.752
Ca Tl Zn
2 3 1
direct
0.000 0.000 0.000
0.000 0.500 0.492
0.500 0.000 0.638
0.500 0.500 0.181
0.500 0.500 0.831
0.500 0.000 0.321
```

=====

Record 4
CaTl4Zn: optimized geometry, PBE.

Computed properties:
- ΔH_f (0 K) (eV/atom) = 0.0840
- spin magnetization (μB per atom) = 0.000

The structure in POSCAR format:
```
CaTl4Zn
1.0
0.000 4.514 4.514
4.514 0.000 4.514
4.514 4.514 0.000
Ca Tl Zn
1 4 1
direct
0.000 0.000 0.000
0.126 0.625 0.625
0.625 0.126 0.625
0.625 0.625 0.126
0.625 0.625 0.625
0.250 0.250 0.250
```

=====

Record 5
Ca8Tl2Zn: optimized geometry, PBE.

Computed properties:
- relative energy among the computed polymorphs (meV/atom) = 69.9
- ΔH_f (0 K) (eV/atom) = -0.1723
- spin magnetization (μB per atom) = 0.000

The structure in POSCAR format:
```
Ca8Tl2Zn
1.0
-2.711 4.515 7.392
2.711 -4.515 7.392
2.711 4.515 -7.392
Ca Tl Zn
8 2 1
direct
0.129 0.344 0.785
0.134 0.134 0.000
0.322 0.000 0.322
0.441 0.656 0.785
0.559 0.344 0.215
0.678 0.000 0.678
0.866 0.866 0.000
0.871 0.656 0.215
0.300 0.800 0.500
0.700 0.200 0.500
0.000 0.500 0.500
```

=====

Record 6
Ca2TlZn2: optimized geometry, PBE.

Computed properties:
- ΔH_f (0 K) (eV/atom) = -0.0945
- spin magnetization (μB per atom) = 0.000

The structure in POSCAR format:
```
Ca2TlZn2
1.0
8.623 0.000 0.000
0.000 8.623 0.000
0.000 0.000 3.679
Ca Tl Zn
4 2 4
direct
0.163 0.337 0.000
0.337 0.837 0.000
0.663 0.163 0.000
0.837 0.663 0.000
0.000 0.000 0.000
0.500 0.500 0.000
0.127 0.627 0.500
0.373 0.127 0.500
0.627 0.873 0.500
0.873 0.373 0.500
```

=====

Record 7
Ca5TlZn2: optimized geometry, PBE.

Computed properties:
- ΔH_f (0 K) (eV/atom) = -0.2701
- spin magnetization (μB per atom) = 0.000

The structure in POSCAR format:
```
Ca5TlZn2
1.0
-3.989 3.989 7.682
3.989 -3.989 7.682
3.989 3.989 -7.682
Ca Tl Zn
10 2 4
direct
0.000 0.000 0.000
0.028 0.528 0.847
0.181 0.028 0.500
0.319 0.819 0.847
0.472 0.319 0.500
0.500 0.500 0.000
0.528 0.681 0.500
0.681 0.181 0.153
0.819 0.972 0.500
0.972 0.472 0.153
0.250 0.250 0.000
0.750 0.750 0.000
0.114 0.386 0.500
0.386 0.886 0.272
0.614 0.114 0.728
0.886 0.614 0.500
```

=====

Record 8
Ca3Tl2Zn: optimized geometry, PBE.

Computed properties:
- relative energy among the computed polymorphs (meV/atom) = 0.0
- ΔH_f (0 K) (eV/atom) = -0.3744
- spin magnetization (μB per atom) = 0.000

The structure in POSCAR format:
```
Ca3Tl2Zn
1.0
3.812 0.000 0.000
0.000 3.812 0.000
0.000 0.000 11.561
Ca Tl Zn
3 2 1
direct
0.000 0.000 0.000
0.000 0.000 0.345
0.000 0.000 0.655
0.500 0.500 0.173
0.500 0.500 0.827
0.500 0.500 0.500
```